## Nb2CrF4 (GGA+U)

Data for a geometry-optimized Nb2CrF4 structure.

Calculated values
**Final energy**: -6.716 eV/atom
**Calculated volume**: 18.944 Å³/atom
**Crystal system**: tetragonal

Lattice parameters (Å, degrees): 3.730 3.730 19.064 90.00 90.00 90.00
Space group I4/mmm (No. 139)
Inequivalent atoms, fractional coordinates:
1 Nb 0.000 0.000 0.217
2 Cr 0.000 0.000 0.000
3 F 0.000 0.000 0.114
4 F 0.000 0.500 0.000

---

## Nb3CrF (GGA+U)

Data for a geometry-optimized Nb3CrF structure.

Calculated values
**Final energy**: -7.706 eV/atom
**Calculated volume**: 16.494 Å³/atom
**Crystal system**: cubic

Lattice parameters (Å, degrees): 4.353 4.353 4.353 90.00 90.00 90.00
Space group Pm-3m (No. 221)
Inequivalent atoms, fractional coordinates:
1 Nb 0.000 0.000 0.500
2 Cr 0.500 0.500 0.500
3 F 0.000 0.000 0.000

---

## NbCrF2 (GGA+U)

Data for a geometry-optimized NbCrF2 structure.

Calculated values
**Offset from the most stable computed form**: 653.1 meV per atom
**Calculated volume**: 14.650 Å³/atom
**Crystal system**: tetragonal

Lattice parameters (Å, degrees): 5.016 5.016 9.315 90.00 90.00 90.00
Space group I-42d (No. 122)
Inequivalent atoms, fractional coordinates:
1 Nb 0.000 0.000 0.000
2 Cr 0.000 0.000 0.500
3 F 0.214 0.250 0.625

---

## NbCr2F (GGA+U)

Data for a geometry-optimized NbCr2F structure.

Calculated values
**Offset from the most stable computed form**: 0.0 meV per atom
**Calculated volume**: 16.426 Å³/atom
**Crystal system**: tetragonal

Lattice parameters (Å, degrees): 7.047 7.047 5.292 90.00 90.00 90.00
Space group I-42d (No. 122)
Inequivalent atoms, fractional coordinates:
1 Nb 0.000 0.000 0.000
2 Cr 0.189 0.250 0.625
3 F 0.000 0.000 0.500

---

## NbCr2F (GGA+U)

Data for a geometry-optimized NbCr2F structure.

Calculated values
**Offset from the most stable computed form**: 395.4 meV per atom
**Calculated volume**: 16.892 Å³/atom
**Crystal system**: cubic

Lattice parameters (Å, degrees): 6.465 6.465 6.465 90.00 90.00 90.00
Space group Fm-3m (No. 225)
Inequivalent atoms, fractional coordinates:
1 Nb 0.000 0.000 0.000
2 Cr 0.250 0.250 0.250
3 F 0.000 0.000 0.500

---

## NbCrF2 (GGA+U)

Data for a geometry-optimized NbCrF2 structure.

Calculated values
**Offset from the most stable computed form**: 0.0 meV per atom
**Calculated volume**: 13.099 Å³/atom
**Crystal system**: trigonal

Lattice parameters (Å, degrees): 2.8381 2.8381 22.5327 90.00 90.00 120.00
Space group R-3m (No. 166, hexagonal axes)
Inequivalent atoms, fractional coordinates:
1 Nb 0.0000 0.0000 0.0000
2 Cr 0.0000 0.0000 0.5000
3 F 0.0000 0.0000 0.1025

---

## Nb2CrF (GGA+U)

Data for a geometry-optimized Nb2CrF structure.

Calculated values
**Offset from the most stable computed form**: 0.0 meV per atom
**Calculated volume**: 19.824 Å³/atom
**Crystal system**: tetragonal

Lattice parameters (Å, degrees): 4.649 4.649 14.677 90.00 90.00 90.00
Space group I-42d (No. 122)
Inequivalent atoms, fractional coordinates:
1 Nb 0.107 0.250 0.125
2 Cr 0.000 0.000 0.500
3 F 0.000 0.000 0.000

---

## NbCrF2 (GGA+U)

Data for a geometry-optimized NbCrF2 structure.

Calculated values
**Offset from the most stable computed form**: 198.5 meV per atom
**Calculated volume**: 13.612 Å³/atom
**Crystal system**: cubic

Lattice parameters (Å, degrees): 6.017 6.017 6.017 90.00 90.00 90.00
Space group Fm-3m (No. 225)
Inequivalent atoms, fractional coordinates:
1 Nb 0.000 0.000 0.000
2 Cr 0.000 0.000 0.500
3 F 0.250 0.250 0.250